[1]
Material: Er2Zn5Ag
Method: DFT, GGA-PBE
State: relaxed

a = 4.242 Å, b = 8.332 Å, c = 8.967 Å
α = 90.00°, β = 90.00°, γ = 104.75°
Atoms (fractional coordinates):
Zn1 0.191 0.382 0.606
Zn2 0.809 0.618 0.394
Zn3 0.191 0.382 0.894
Zn4 0.351 0.702 0.523
Zn5 0.390 0.780 0.250
Zn6 0.649 0.298 0.477
Zn7 0.351 0.702 0.977
Zn8 0.809 0.618 0.106
Zn9 0.649 0.298 0.023
Zn10 0.610 0.220 0.750
Er1 0.194 0.389 0.250
Er2 0.806 0.611 0.750
Er3 0.000 0.000 0.500
Er4 0.000 0.000 0.000
Ag1 0.451 0.903 0.750
Ag2 0.549 0.097 0.250

Properties
For the formation enthalpy at 0 K, the calculation gives -0.2918 eV per atom.



[2]
Material: ErZn2Ag3
Method: DFT, GGA-PBE
State: relaxed

a = 4.620 Å, b = 4.620 Å, c = 12.178 Å
α = 90.00°, β = 90.00°, γ = 120.00°
Atoms (fractional coordinates):
Ag1 0.667 0.333 0.889
Ag2 0.333 0.667 0.111
Ag3 0.667 0.333 0.611
Ag4 0.000 0.000 0.500
Ag5 0.333 0.667 0.389
Ag6 0.000 0.000 0.000
Er1 0.000 0.000 0.750
Er2 0.000 0.000 0.250
Zn1 0.333 0.667 0.620
Zn2 0.333 0.667 0.880
Zn3 0.667 0.333 0.120
Zn4 0.667 0.333 0.380

Properties
For the formation enthalpy at 0 K, the calculation gives -0.1920 eV per atom.



[3]
Material: ErZn6Ag2
Method: DFT, GGA-PBE
State: relaxed

a = 3.405 Å, b = 7.635 Å, c = 7.635 Å
α = 56.84°, β = 77.11°, γ = 77.11°
Atoms (fractional coordinates):
Zn1 0.679 0.005 0.637
Zn2 0.679 0.637 0.005
Zn3 0.321 0.363 0.995
Zn4 0.500 0.672 0.328
Zn5 0.321 0.995 0.363
Zn6 0.500 0.328 0.672
Er1 0.000 0.000 0.000
Ag1 0.862 0.638 0.638
Ag2 0.138 0.362 0.362

Properties
For the formation enthalpy at 0 K, the calculation gives -0.0954 eV per atom.



[4]
Material: Er2Zn2Ag3
Method: DFT, GGA-PBE
State: relaxed

a = 3.525 Å, b = 4.198 Å, c = 9.864 Å
α = 102.29°, β = 90.00°, γ = 90.00°
Atoms (fractional coordinates):
Ag1 0.000 0.000 0.000
Ag2 0.500 0.572 0.145
Ag3 0.500 0.428 0.855
Zn1 0.500 0.715 0.430
Zn2 0.500 0.285 0.570
Er1 0.000 0.155 0.311
Er2 0.000 0.845 0.689

Properties
For the formation enthalpy at 0 K, the calculation gives -0.2289 eV per atom.



[5]
Material: Er5ZnAg4
Method: DFT, GGA-PBE
State: relaxed

a = 3.571 Å, b = 3.571 Å, c = 18.100 Å
α = 90.00°, β = 90.00°, γ = 90.00°
Atoms (fractional coordinates):
Er1 0.500 0.500 0.904
Er2 0.500 0.500 0.500
Er3 0.500 0.500 0.096
Er4 0.500 0.500 0.298
Er5 0.500 0.500 0.702
Ag1 0.000 0.000 0.601
Ag2 0.000 0.000 0.399
Ag3 0.000 0.000 0.804
Ag4 0.000 0.000 0.196
Zn1 0.000 0.000 0.000

Properties
For the formation enthalpy at 0 K, the calculation gives -0.3426 eV per atom.



[6]
Material: Er4Zn5Ag
Method: DFT, GGA-PBE
State: relaxed

a = 3.483 Å, b = 3.483 Å, c = 17.206 Å
α = 90.00°, β = 90.00°, γ = 90.00°
Atoms (fractional coordinates):
Ag1 0.000 0.000 0.000
Er1 0.000 0.000 0.396
Er2 0.000 0.000 0.190
Er3 0.000 0.000 0.810
Er4 0.000 0.000 0.604
Zn1 0.500 0.500 0.293
Zn2 0.500 0.500 0.500
Zn3 0.500 0.500 0.707
Zn4 0.500 0.500 0.083
Zn5 0.500 0.500 0.917

Properties
For the formation enthalpy at 0 K, the calculation gives -0.2842 eV per atom.



[7]
Material: Er8Zn2Ag
Method: DFT, GGA-PBE
State: relaxed

a = 5.050 Å, b = 6.886 Å, c = 9.144 Å
α = 106.64°, β = 106.03°, γ = 90.00°
Atoms (fractional coordinates):
Er1 0.029 0.773 0.057
Er2 0.408 0.539 0.815
Er3 0.802 0.685 0.604
Er4 0.198 0.315 0.396
Er5 0.592 0.461 0.185
Er6 0.972 0.227 0.943
Er7 0.332 0.028 0.663
Er8 0.668 0.972 0.337
Zn1 0.815 0.285 0.630
Zn2 0.185 0.715 0.370
Ag1 0.500 0.000 0.000

Properties
For the formation enthalpy at 0 K, the calculation gives -0.1374 eV per atom.



[8]
Material: Er11Zn9Ag4
Method: DFT, GGA-PBE
State: relaxed

a = 3.585 Å, b = 12.669 Å, c = 12.669 Å
α = 111.57°, β = 90.00°, γ = 90.00°
Atoms (fractional coordinates):
Er1 0.000 0.755 0.755
Er2 0.000 0.070 0.412
Er3 0.000 0.412 0.070
Er4 0.000 0.000 0.000
Er5 0.000 0.930 0.588
Er6 0.000 0.588 0.930
Er7 0.000 0.346 0.654
Er8 0.000 0.245 0.245
Er9 0.000 0.654 0.346
Er10 0.000 0.828 0.172
Er11 0.000 0.172 0.828
Zn1 0.500 0.500 0.500
Zn2 0.500 0.036 0.205
Zn3 0.500 0.964 0.795
Zn4 0.500 0.140 0.624
Zn5 0.500 0.795 0.964
Zn6 0.500 0.376 0.860
Zn7 0.500 0.860 0.376
Zn8 0.500 0.205 0.036
Zn9 0.500 0.624 0.140
Ag1 0.500 0.729 0.554
Ag2 0.500 0.554 0.729
Ag3 0.500 0.271 0.446
Ag4 0.500 0.446 0.271

Properties
For the formation enthalpy at 0 K, the calculation gives -0.3055 eV per atom.



[9]
Material: Er6ZnAg3
Method: DFT, GGA-PBE
State: relaxed

a = 5.067 Å, b = 8.894 Å, c = 11.492 Å
α = 107.02°, β = 90.00°, γ = 90.00°
Atoms (fractional coordinates):
Er1 0.750 0.745 0.513
Er2 0.750 0.335 0.305
Er3 0.250 0.111 0.153
Er4 0.750 0.859 0.124
Er5 0.250 0.861 0.341
Er6 0.250 0.255 0.487
Er7 0.750 0.889 0.847
Er8 0.750 0.500 0.891
Er9 0.250 0.500 0.109
Er10 0.250 0.665 0.695
Er11 0.250 0.141 0.876
Er12 0.750 0.139 0.659
Ag1 0.750 0.629 0.247
Ag2 0.250 0.534 0.381
Ag3 0.250 0.371 0.753
Ag4 0.250 0.773 0.972
Ag5 0.750 0.466 0.619
Ag6 0.750 0.227 0.028
Zn1 0.750 0.050 0.383
Zn2 0.250 0.950 0.617

Properties
For the formation enthalpy at 0 K, the calculation gives -0.2068 eV per atom.



[10]
Material: ErZn2Ag8
Method: DFT, GGA-PBE
State: relaxed

a = 5.151 Å, b = 7.795 Å, c = 7.795 Å
α = 40.95°, β = 85.59°, γ = 85.59°
Atoms (fractional coordinates):
Ag1 0.473 0.346 0.848
Ag2 0.875 0.210 0.210
Ag3 0.125 0.790 0.790
Ag4 0.019 0.401 0.401
Ag5 0.473 0.848 0.346
Ag6 0.527 0.654 0.152
Ag7 0.527 0.152 0.654
Ag8 0.981 0.599 0.599
Zn1 0.640 0.745 0.745
Zn2 0.360 0.255 0.255
Er1 0.000 0.000 0.000

Properties
For the formation enthalpy at 0 K, the calculation gives -0.0459 eV per atom.



[11]
Material: Er6Zn2Ag
Method: DFT, GGA-PBE
State: relaxed

a = 8.441 Å, b = 8.441 Å, c = 8.441 Å
α = 108.69°, β = 111.44°, γ = 108.31°
Atoms (fractional coordinates):
Er1 0.802 0.750 0.552
Er2 0.717 0.038 0.322
Er3 0.088 0.267 0.821
Er4 0.555 0.733 0.821
Er5 0.283 0.962 0.678
Er6 0.283 0.605 0.322
Er7 0.445 0.267 0.179
Er8 0.198 0.750 0.948
Er9 0.912 0.733 0.179
Er10 0.802 0.250 0.052
Er11 0.717 0.395 0.678
Er12 0.198 0.250 0.448
Zn1 0.500 0.626 0.126
Zn2 0.637 0.000 0.637
Zn3 0.500 0.374 0.874
Zn4 0.363 0.000 0.363
Ag1 0.000 0.000 0.000
Ag2 0.000 0.500 0.500

Properties
For the formation enthalpy at 0 K, the calculation gives -0.1870 eV per atom.



[12]
Material: Er3Zn4Ag4
Method: DFT, GGA-PBE
State: relaxed

a = 3.435 Å, b = 4.579 Å, c = 14.342 Å
α = 80.57°, β = 83.11°, γ = 89.95°
Atoms (fractional coordinates):
Zn1 0.545 0.545 0.910
Zn2 0.455 0.455 0.090
Zn3 0.687 0.187 0.627
Zn4 0.313 0.813 0.373
Ag1 0.593 0.094 0.814
Ag2 0.407 0.906 0.186
Ag3 0.263 0.263 0.473
Ag4 0.737 0.737 0.527
Er1 0.859 0.359 0.280
Er2 0.141 0.641 0.720
Er3 0.000 0.000 0.000

Properties
For the formation enthalpy at 0 K, the calculation gives -0.2675 eV per atom.



[13]
Material: Er2ZnAg
Method: DFT, GGA-PBE
State: relaxed

a = 3.568 Å, b = 3.568 Å, c = 7.139 Å
α = 90.00°, β = 90.00°, γ = 90.00°
Atoms (fractional coordinates):
Zn1 0.500 0.500 0.000
Ag1 0.500 0.500 0.500
Er1 0.000 0.000 0.757
Er2 0.000 0.000 0.243

Properties
For the formation enthalpy at 0 K, the calculation gives -0.3455 eV per atom.



[14]
Material: ErZn2Ag9
Method: DFT, GGA-PBE
State: relaxed

a = 7.169 Å, b = 8.710 Å, c = 8.710 Å
α = 80.25°, β = 65.70°, γ = 65.70°
Atoms (fractional coordinates):
Ag1 0.000 0.680 0.924
Ag2 0.673 0.576 0.180
Ag3 0.750 0.500 0.500
Ag4 0.320 0.680 0.076
Ag5 0.000 0.924 0.680
Ag6 0.000 0.000 0.000
Ag7 0.146 0.424 0.180
Ag8 0.430 0.820 0.424
Ag9 0.320 0.076 0.680
Ag10 0.750 0.576 0.820
Ag11 0.604 0.076 0.320
Ag12 0.430 0.424 0.820
Ag13 0.077 0.924 0.320
Ag14 0.673 0.180 0.576
Ag15 0.604 0.320 0.076
Ag16 0.750 0.820 0.576
Ag17 0.077 0.320 0.924
Ag18 0.146 0.180 0.424
Zn1 0.875 0.750 0.250
Zn2 0.875 0.250 0.750
Zn3 0.375 0.750 0.750
Zn4 0.875 0.250 0.250
Er1 0.250 0.500 0.500
Er2 0.500 0.000 0.000

Properties
For the formation enthalpy at 0 K, the calculation gives -0.0337 eV per atom.



[15]
Material: ErZn3Ag10
Method: DFT, GGA-PBE
State: relaxed

a = 9.169 Å, b = 9.169 Å, c = 9.169 Å
α = 60.00°, β = 60.00°, γ = 60.00°
Atoms (fractional coordinates):
Zn1 0.730 0.730 0.270
Zn2 0.270 0.730 0.270
Zn3 0.270 0.270 0.730
Zn4 0.270 0.730 0.730
Zn5 0.730 0.270 0.730
Zn6 0.730 0.270 0.270
Ag1 0.653 0.000 0.000
Ag2 0.620 0.139 0.620
Ag3 0.653 0.000 0.347
Ag4 0.000 0.347 0.653
Ag5 0.139 0.620 0.620
Ag6 0.000 0.000 0.347
Ag7 0.653 0.347 0.000
Ag8 0.000 0.000 0.653
Ag9 0.347 0.653 0.000
Ag10 0.861 0.380 0.380
Ag11 0.000 0.653 0.347
Ag12 0.000 0.347 0.000
Ag13 0.620 0.620 0.139
Ag14 0.380 0.380 0.380
Ag15 0.620 0.620 0.620
Ag16 0.347 0.000 0.653
Ag17 0.380 0.380 0.861
Ag18 0.380 0.861 0.380
Ag19 0.347 0.000 0.000
Ag20 0.000 0.653 0.000
Er1 0.250 0.250 0.250
Er2 0.750 0.750 0.750

Properties
For the formation enthalpy at 0 K, the calculation gives 0.0633 eV per atom.



[16]
Material: ErZn9Ag2
Method: DFT, GGA-PBE
State: relaxed

a = 3.026 Å, b = 8.794 Å, c = 8.794 Å
α = 120.00°, β = 90.00°, γ = 90.00°
Atoms (fractional coordinates):
Zn1 0.500 0.357 0.178
Zn2 0.500 0.822 0.643
Zn3 0.500 0.178 0.357
Zn4 0.500 0.178 0.822
Zn5 0.000 0.500 0.000
Zn6 0.000 0.000 0.500
Zn7 0.500 0.643 0.822
Zn8 0.000 0.500 0.500
Zn9 0.500 0.822 0.178
Ag1 0.000 0.333 0.667
Ag2 0.000 0.667 0.333
Er1 0.000 0.000 0.000

Properties
For the formation enthalpy at 0 K, the calculation gives -0.0715 eV per atom.



[17]
Material: ErZn2Ag3
Method: DFT, GGA-PBE
State: relaxed

a = 5.403 Å, b = 6.536 Å, c = 6.536 Å
α = 85.21°, β = 90.00°, γ = 90.00°
Atoms (fractional coordinates):
Zn1 0.500 0.756 0.756
Zn2 0.000 0.244 0.244
Zn3 0.000 0.756 0.756
Zn4 0.500 0.244 0.244
Er1 0.750 0.651 0.349
Er2 0.250 0.349 0.651
Ag1 0.250 0.573 0.104
Ag2 0.750 0.427 0.896
Ag3 0.750 0.996 0.004
Ag4 0.250 0.896 0.427
Ag5 0.250 0.004 0.996
Ag6 0.750 0.104 0.573

Properties
For the formation enthalpy at 0 K, the calculation gives -0.1333 eV per atom.



[18]
Material: Er4ZnAg3
Method: DFT, GGA-PBE
State: relaxed

a = 3.629 Å, b = 4.742 Å, c = 11.046 Å
α = 90.00°, β = 90.00°, γ = 90.00°
Atoms (fractional coordinates):
Zn1 0.500 0.500 0.078
Ag1 0.000 0.500 0.580
Ag2 0.500 0.000 0.924
Ag3 0.000 0.000 0.420
Er1 0.500 0.500 0.351
Er2 0.000 0.000 0.146
Er3 0.000 0.500 0.855
Er4 0.500 0.000 0.645

Properties
For the formation enthalpy at 0 K, the calculation gives -0.2861 eV per atom.



[19]
Material: Er2Zn2Ag
Method: DFT, GGA-PBE
State: relaxed

a = 7.247 Å, b = 7.247 Å, c = 8.232 Å
α = 90.00°, β = 90.00°, γ = 90.00°
Atoms (fractional coordinates):
Ag1 0.000 0.000 0.250
Ag2 0.000 0.000 0.750
Ag3 0.500 0.500 0.750
Ag4 0.500 0.500 0.250
Zn1 0.127 0.373 0.250
Zn2 0.873 0.627 0.250
Zn3 0.873 0.627 0.750
Zn4 0.373 0.873 0.250
Zn5 0.627 0.127 0.750
Zn6 0.373 0.873 0.750
Zn7 0.627 0.127 0.250
Zn8 0.127 0.373 0.750
Er1 0.329 0.171 0.000
Er2 0.671 0.829 0.500
Er3 0.671 0.829 0.000
Er4 0.329 0.171 0.500
Er5 0.829 0.329 0.000
Er6 0.829 0.329 0.500
Er7 0.171 0.671 0.000
Er8 0.171 0.671 0.500

Properties
For the formation enthalpy at 0 K, the calculation gives -0.3045 eV per atom.